a.
First-principles (PBE) data for an optimized crystal structure of Sc3Al3GeIr2, as listed in the Open Quantum Materials Database.

Results
As for the crystal system: hexagonal.

Lattice parameters (Å, degrees): 7.6470 7.6470 3.0328 90.00 90.00 120.00
Space group P-62m (No. 189)
Inequivalent atoms, fractional coordinates:
Sc: 0.0000 0.7094 0.0000 [3 per cell]
Al: 0.0000 0.3841 0.5000 [3 per cell]
Ge: 0.0000 0.0000 0.5000 [1 per cell]
Ir: 0.3333 0.6667 0.0000 [2 per cell]

=====

b.
First-principles (PBE) data for an optimized crystal structure of Sc3Al3GeIr2, as listed in the Open Quantum Materials Database.

Results
As for the crystal system: hexagonal.

Lattice parameters (Å, degrees): 7.4296 7.4296 3.2817 90.00 90.00 120.00
Space group P-62m (No. 189)
Inequivalent atoms, fractional coordinates:
Sc: 0.0000 0.3821 0.0000 [3 per cell]
Al: 0.0000 0.7048 0.5000 [3 per cell]
Ge: 0.0000 0.0000 0.0000 [1 per cell]
Ir: 0.3333 0.6667 0.5000 [2 per cell]

=====

Ranked by calculated energy, most stable first: b, a.

=====

a.
First-principles (PBE) data for an optimized crystal structure of Y3Al3GeIr2, as listed in the Open Quantum Materials Database.

Results
As for the crystal system: hexagonal.

Lattice parameters (Å, degrees): 7.2736 7.2736 3.9483 90.00 90.00 120.00
Space group P-62m (No. 189)
Inequivalent atoms, fractional coordinates:
Y: 0.0000 0.5973 0.0000 [3 per cell]
Al: 0.0000 0.2723 0.5000 [3 per cell]
Ge: 0.0000 0.0000 0.0000 [1 per cell]
Ir: 0.3333 0.6667 0.5000 [2 per cell]

=====

b.
First-principles (PBE) data for an optimized crystal structure of Y3Al3GeIr2, as listed in the Open Quantum Materials Database.

Results
As for the crystal system: hexagonal.

Lattice parameters (Å, degrees): 8.0209 8.0209 3.1825 90.00 90.00 120.00
Space group P-62m (No. 189)
Inequivalent atoms, fractional coordinates:
Y: 0.0000 0.7084 0.0000 [3 per cell]
Al: 0.0000 0.3861 0.5000 [3 per cell]
Ge: 0.0000 0.0000 0.5000 [1 per cell]
Ir: 0.3333 0.6667 0.0000 [2 per cell]

=====

Ranked by calculated energy, most stable first: a, b.

=====

a.
First-principles (PBE) data for an optimized crystal structure of Nd3Al3GePd2, as listed in the Open Quantum Materials Database.

Results
As for the crystal system: hexagonal.

Lattice parameters (Å, degrees): 7.6079 7.6079 3.9519 90.00 90.00 120.00
Space group P-62m (No. 189)
Inequivalent atoms, fractional coordinates:
Nd: 0.0000 0.4017 0.0000 [3 per cell]
Al: 0.0000 0.7464 0.5000 [3 per cell]
Ge: 0.0000 0.0000 0.0000 [1 per cell]
Pd: 0.3333 0.6667 0.5000 [2 per cell]

=====

b.
First-principles (PBE) data for an optimized crystal structure of Nd3Al3GePd2, as listed in the Open Quantum Materials Database.

Results
As for the crystal system: hexagonal.

Lattice parameters (Å, degrees): 7.7674 7.7674 4.1021 90.00 90.00 120.00
Space group P-62m (No. 189)
Inequivalent atoms, fractional coordinates:
Nd: 0.0000 0.7226 0.0000 [3 per cell]
Al: 0.0000 0.4060 0.5000 [3 per cell]
Ge: 0.0000 0.0000 0.5000 [1 per cell]
Pd: 0.3333 0.6667 0.0000 [2 per cell]

=====

Ranked by calculated energy, most stable first: a, b.

=====

a.
First-principles (PBE) data for an optimized crystal structure of PmAlGe, as listed in the Open Quantum Materials Database.

Results
As for the crystal system: cubic.

Lattice parameters (Å, degrees): 6.629 6.629 6.629 90.00 90.00 90.00
Space group F-43m (No. 216)
Inequivalent atoms, fractional coordinates:
Pm: 0.000 0.000 0.000 [4 per cell]
Al: 0.250 0.250 0.750 [4 per cell]
Ge: 0.000 0.000 0.500 [4 per cell]

=====

b.
First-principles (PBE) data for an optimized crystal structure of PmAlGe, as listed in the Open Quantum Materials Database.

Results
As for the crystal system: cubic.

Lattice parameters (Å, degrees): 6.890 6.890 6.890 90.00 90.00 90.00
Space group F-43m (No. 216)
Inequivalent atoms, fractional coordinates:
Pm: 0.000 0.000 0.000 [4 per cell]
Al: 0.250 0.250 0.750 [4 per cell]
Ge: 0.250 0.250 0.250 [4 per cell]

=====

Ranked by calculated energy, most stable first: a, b.

=====

a.
First-principles (PBE) data for an optimized crystal structure of AlTc2Ge2, as listed in the Open Quantum Materials Database.

Results
As for the crystal system: tetragonal.

Lattice parameters (Å, degrees): 4.276 4.276 9.538 90.00 90.00 90.00
Space group I4/mmm (No. 139)
Inequivalent atoms, fractional coordinates:
Al: 0.000 0.000 0.000 [2 per cell]
Tc: 0.000 0.500 0.250 [4 per cell]
Ge: 0.000 0.000 0.377 [4 per cell]

=====

b.
First-principles (PBE) data for an optimized crystal structure of AlTc2Ge2, as listed in the Open Quantum Materials Database.

Results
As for the crystal system: tetragonal.

Lattice parameters (Å, degrees): 3.498 3.498 12.946 90.00 90.00 90.00
Space group I4/mmm (No. 139)
Inequivalent atoms, fractional coordinates:
Al: 0.000 0.000 0.000 [2 per cell]
Tc: 0.000 0.000 0.395 [4 per cell]
Ge: 0.000 0.500 0.250 [4 per cell]

=====

Ranked by calculated energy, most stable first: b, a.

=====

a.
First-principles (PBE) data for an optimized crystal structure of Al2TcGe2, as listed in the Open Quantum Materials Database.

Results
As for the crystal system: tetragonal.

Lattice parameters (Å, degrees): 3.565 3.565 12.806 90.00 90.00 90.00
Space group I4/mmm (No. 139)
Inequivalent atoms, fractional coordinates:
Al: 0.000 0.000 0.094 [4 per cell]
Tc: 0.000 0.000 0.500 [2 per cell]
Ge: 0.000 0.500 0.250 [4 per cell]

=====

b.
First-principles (PBE) data for an optimized crystal structure of Al2TcGe2, as listed in the Open Quantum Materials Database.

Results
As for the crystal system: tetragonal.

Lattice parameters (Å, degrees): 3.625 3.625 12.509 90.00 90.00 90.00
Space group I4/mmm (No. 139)
Inequivalent atoms, fractional coordinates:
Al: 0.000 0.500 0.250 [4 per cell]
Tc: 0.000 0.000 0.000 [2 per cell]
Ge: 0.000 0.000 0.402 [4 per cell]

=====

Ranked by calculated energy, most stable first: a, b.

=====

a.
First-principles (PBE) data for an optimized crystal structure of HfMgAlIr, as listed in the Open Quantum Materials Database.

Results
As for the crystal system: cubic.

Lattice parameters (Å, degrees): 6.426 6.426 6.426 90.00 90.00 90.00
Space group F-43m (No. 216)
Inequivalent atoms, fractional coordinates:
Hf: 0.000 0.000 0.000 [4 per cell]
Mg: 0.250 0.250 0.750 [4 per cell]
Al: 0.250 0.250 0.250 [4 per cell]
Ir: 0.000 0.000 0.500 [4 per cell]

=====

b.
First-principles (PBE) data for an optimized crystal structure of HfMgAlIr, as listed in the Open Quantum Materials Database.

Results
As for the crystal system: cubic.

Lattice parameters (Å, degrees): 6.473 6.473 6.473 90.00 90.00 90.00
Space group F-43m (No. 216)
Inequivalent atoms, fractional coordinates:
Hf: 0.000 0.000 0.000 [4 per cell]
Mg: 0.000 0.000 0.500 [4 per cell]
Al: 0.250 0.250 0.750 [4 per cell]
Ir: 0.250 0.250 0.250 [4 per cell]

=====

Ranked by calculated energy, most stable first: b, a.

=====

a.
First-principles (PBE) data for an optimized crystal structure of LaHfAl, as listed in the Open Quantum Materials Database.

Results
As for the crystal system: cubic.

Lattice parameters (Å, degrees): 6.955 6.955 6.955 90.00 90.00 90.00
Space group F-43m (No. 216)
Inequivalent atoms, fractional coordinates:
La: 0.000 0.000 0.000 [4 per cell]
Hf: 0.000 0.000 0.500 [4 per cell]
Al: 0.250 0.250 0.750 [4 per cell]

=====

b.
First-principles (PBE) data for an optimized crystal structure of LaHfAl, as listed in the Open Quantum Materials Database.

Results
As for the crystal system: cubic.

Lattice parameters (Å, degrees): 7.075 7.075 7.075 90.00 90.00 90.00
Space group F-43m (No. 216)
Inequivalent atoms, fractional coordinates:
La: 0.000 0.000 0.000 [4 per cell]
Hf: 0.250 0.250 0.250 [4 per cell]
Al: 0.250 0.250 0.750 [4 per cell]

=====

Ranked by calculated energy, most stable first: a, b.

=====

a.
First-principles (PBE) data for an optimized crystal structure of LiHfAlPt, as listed in the Open Quantum Materials Database.

Results
As for the crystal system: cubic.

Lattice parameters (Å, degrees): 6.308 6.308 6.308 90.00 90.00 90.00
Space group F-43m (No. 216)
Inequivalent atoms, fractional coordinates:
Li: 0.000 0.000 0.000 [4 per cell]
Hf: 0.250 0.250 0.250 [4 per cell]
Al: 0.250 0.250 0.750 [4 per cell]
Pt: 0.000 0.000 0.500 [4 per cell]

=====

b.
First-principles (PBE) data for an optimized crystal structure of LiHfAlPt, as listed in the Open Quantum Materials Database.

Results
As for the crystal system: cubic.

Lattice parameters (Å, degrees): 6.280 6.280 6.280 90.00 90.00 90.00
Space group F-43m (No. 216)
Inequivalent atoms, fractional coordinates:
Li: 0.000 0.000 0.000 [4 per cell]
Hf: 0.250 0.250 0.750 [4 per cell]
Al: 0.000 0.000 0.500 [4 per cell]
Pt: 0.250 0.250 0.250 [4 per cell]

=====

c.
First-principles (PBE) data for an optimized crystal structure of LiHfAlPt, as listed in the Open Quantum Materials Database.

Results
As for the crystal system: cubic.

Lattice parameters (Å, degrees): 6.389 6.389 6.389 90.00 90.00 90.00
Space group F-43m (No. 216)
Inequivalent atoms, fractional coordinates:
Li: 0.000 0.000 0.000 [4 per cell]
Hf: 0.000 0.000 0.500 [4 per cell]
Al: 0.250 0.250 0.750 [4 per cell]
Pt: 0.250 0.250 0.250 [4 per cell]

=====

Ranked by calculated energy, most stable first: a, c, b.

=====

a.
First-principles (PBE) data for an optimized crystal structure of HfAlNO, as listed in the Open Quantum Materials Database.

Results
As for the crystal system: tetragonal.

Lattice parameters (Å, degrees): 3.440 3.440 7.567 90.00 90.00 90.00
Space group P4/nmm (No. 129, origin choice 2)
Inequivalent atoms, fractional coordinates:
Hf: 0.250 0.250 0.163 [2 per cell]
Al: 0.250 0.750 0.500 [2 per cell]
N: 0.250 0.250 0.694 [2 per cell]
O: 0.250 0.750 0.000 [2 per cell]

=====

b.
First-principles (PBE) data for an optimized crystal structure of HfAlNO, as listed in the Open Quantum Materials Database.

Results
As for the crystal system: orthorhombic.

Lattice parameters (Å, degrees): 3.294 6.275 4.612 90.00 90.00 90.00
Space group Pmc2_1 (No. 26)
Inequivalent atoms, fractional coordinates:
Hf: 0.000 0.141 0.000 [2 per cell]
Al: 0.500 0.333 0.541 [2 per cell]
N: 0.000 0.211 0.479 [2 per cell]
O: 0.500 0.386 0.939 [2 per cell]

=====

c.
First-principles (PBE) data for an optimized crystal structure of HfAlNO, as listed in the Open Quantum Materials Database.

Results
As for the crystal system: orthorhombic.

Lattice parameters (Å, degrees): 3.203 6.112 5.017 90.00 90.00 90.00
Space group Pmc2_1 (No. 26)
Inequivalent atoms, fractional coordinates:
Hf: 0.000 0.137 0.000 [2 per cell]
Al: 0.500 0.351 0.562 [2 per cell]
N: 0.500 0.362 0.941 [2 per cell]
O: 0.000 0.236 0.455 [2 per cell]

=====

Ranked by calculated energy, most stable first: b, c, a.

=====

a.
First-principles (PBE) data for an optimized crystal structure of HfAlNO, as listed in the Open Quantum Materials Database.

Results
As for the crystal system: tetragonal.

Lattice parameters (Å, degrees): 4.084 4.084 5.335 90.00 90.00 90.00
Space group P4/nmm (No. 129, origin choice 2)
Inequivalent atoms, fractional coordinates:
Hf: 0.250 0.750 0.000 [2 per cell]
Al: 0.250 0.250 0.491 [2 per cell]
N: 0.250 0.250 0.846 [2 per cell]
O: 0.250 0.750 0.500 [2 per cell]

=====

b.
First-principles (PBE) data for an optimized crystal structure of HfAlNO, as listed in the Open Quantum Materials Database.

Results
As for the crystal system: orthorhombic.

Lattice parameters (Å, degrees): 5.906 6.891 4.646 90.00 90.00 90.00
Space group Pca2_1 (No. 29)
Inequivalent atoms, fractional coordinates:
Hf: 0.058 0.138 0.000 [4 per cell]
Al: 0.120 0.645 0.009 [4 per cell]
N: 0.090 0.142 0.481 [4 per cell]
O: 0.090 0.543 0.642 [4 per cell]

=====

Ranked by calculated energy, most stable first: b, a.

=====

a.
First-principles (PBE) data for an optimized crystal structure of NaHfAlNi, as listed in the Open Quantum Materials Database.

Results
As for the crystal system: cubic.

Lattice parameters (Å, degrees): 6.350 6.350 6.350 90.00 90.00 90.00
Space group F-43m (No. 216)
Inequivalent atoms, fractional coordinates:
Na: 0.000 0.000 0.000 [4 per cell]
Hf: 0.250 0.250 0.750 [4 per cell]
Al: 0.250 0.250 0.250 [4 per cell]
Ni: 0.000 0.000 0.500 [4 per cell]

=====

b.
First-principles (PBE) data for an optimized crystal structure of NaHfAlNi, as listed in the Open Quantum Materials Database.

Results
As for the crystal system: cubic.

Lattice parameters (Å, degrees): 6.535 6.535 6.535 90.00 90.00 90.00
Space group F-43m (No. 216)
Inequivalent atoms, fractional coordinates:
Na: 0.000 0.000 0.000 [4 per cell]
Hf: 0.000 0.000 0.500 [4 per cell]
Al: 0.250 0.250 0.750 [4 per cell]
Ni: 0.250 0.250 0.250 [4 per cell]

=====

Ranked by calculated energy, most stable first: a, b.